Version P
A plane-wave DFT calculation with PBE was carried out for a geometry-optimized PrHo4Tm structure.

Its magnetic moment is 0.000 μB per formula unit. As for the density of states at the Fermi level: 2.128 states/eV per atom. The symmetry is No. 12.

Cell: 5.999 5.999 11.484 Å, 118.23 118.23 33.33°
Atoms (fractional coordinates):
Pr1 0.000 0.000 0.000
Ho1 0.156 0.156 0.348
Ho2 0.347 0.347 0.159
Ho3 0.653 0.653 0.841
Ho4 0.844 0.844 0.652
Tm1 0.500 0.500 0.500

***

Version Q
A plane-wave DFT calculation with PBE was carried out for a geometry-optimized PrHo4Tm structure.

Its magnetic moment is 0.762 μB per formula unit. As for the density of states at the Fermi level: 1.803 states/eV per atom. The symmetry is No. 216.

Cell: 6.566 6.566 6.566 Å, 60.00 60.00 60.00°
Atoms (fractional coordinates):
Pr1 0.000 0.000 0.000
Ho1 0.375 0.375 0.375
Ho2 0.375 0.375 0.874
Ho3 0.375 0.874 0.375
Ho4 0.874 0.375 0.375
Tm1 0.750 0.750 0.750

***

Of them, version Q has the lowest stability.

***

Version P
A plane-wave DFT calculation with PBE was carried out for a geometry-optimized Pr4Ho6Tm structure.

Its magnetic moment is 0.000 μB per formula unit. As for the density of states at the Fermi level: 1.273 states/eV per atom. The symmetry is No. 121.

Cell: 9.721 9.721 9.721 Å, 139.82 139.82 58.13°
Atoms (fractional coordinates):
Pr1 0.014 0.634 0.000
Pr2 0.366 0.366 0.380
Pr3 0.634 0.014 0.000
Pr4 0.986 0.986 0.620
Ho1 0.000 0.500 0.500
Ho2 0.200 0.200 0.645
Ho3 0.445 0.800 0.000
Ho4 0.500 0.000 0.500
Ho5 0.555 0.555 0.355
Ho6 0.800 0.445 0.000
Tm1 0.000 0.000 0.000

***

Version Q
A plane-wave DFT calculation with PBE was carried out for a geometry-optimized Pr4Ho6Tm structure.

Its magnetic moment is 0.000 μB per formula unit. As for the density of states at the Fermi level: 1.499 states/eV per atom. The symmetry is No. 187.

Cell: 11.052 11.052 3.568 Å, 90.00 90.00 120.00°
Atoms (fractional coordinates):
Pr1 0.000 0.000 0.000
Pr2 0.502 0.003 0.500
Pr3 0.502 0.498 0.500
Pr4 0.997 0.498 0.500
Ho1 0.175 0.350 0.000
Ho2 0.175 0.825 0.000
Ho3 0.309 0.154 0.500
Ho4 0.650 0.825 0.000
Ho5 0.846 0.154 0.500
Ho6 0.846 0.691 0.500
Tm1 0.667 0.333 0.000

***

Of them, version P has the lowest stability.

***

Version P
A plane-wave DFT calculation with PBE was carried out for a geometry-optimized Pr7Ho12Tm structure.

Its magnetic moment is 0.000 μB per formula unit. As for the density of states at the Fermi level: 1.402 states/eV per atom. The symmetry is No. 229.

Cell: 9.809 9.809 9.809 Å, 109.47 109.47 109.47°
Atoms (fractional coordinates):
Pr1 0.000 0.000 0.500
Pr2 0.000 0.500 0.000
Pr3 0.000 0.500 0.500
Pr4 0.500 0.000 0.000
Pr5 0.500 0.000 0.500
Pr6 0.500 0.500 0.000
Pr7 0.500 0.500 0.500
Ho1 0.000 0.244 0.756
Ho2 0.000 0.756 0.244
Ho3 0.244 0.000 0.756
Ho4 0.244 0.244 0.488
Ho5 0.244 0.488 0.244
Ho6 0.244 0.756 0.000
Ho7 0.488 0.244 0.244
Ho8 0.512 0.756 0.756
Ho9 0.756 0.000 0.244
Ho10 0.756 0.244 0.000
Ho11 0.756 0.512 0.756
Ho12 0.756 0.756 0.512
Tm1 0.000 0.000 0.000

***

Version Q
A plane-wave DFT calculation with PBE was carried out for a geometry-optimized Pr7Ho12Tm structure.

Its magnetic moment is 0.000 μB per formula unit. As for the density of states at the Fermi level: 1.782 states/eV per atom. The symmetry is No. 148.

Cell: 8.802 8.802 8.802 Å, 85.91 85.91 85.91°
Atoms (fractional coordinates):
Pr1 0.000 0.000 0.000
Pr2 0.101 0.417 0.344
Pr3 0.344 0.101 0.417
Pr4 0.417 0.344 0.101
Pr5 0.583 0.656 0.899
Pr6 0.656 0.899 0.583
Pr7 0.899 0.583 0.656
Ho1 0.003 0.885 0.364
Ho2 0.115 0.636 0.997
Ho3 0.228 0.356 0.750
Ho4 0.250 0.772 0.644
Ho5 0.356 0.750 0.228
Ho6 0.364 0.003 0.885
Ho7 0.636 0.997 0.115
Ho8 0.644 0.250 0.772
Ho9 0.750 0.228 0.356
Ho10 0.772 0.644 0.250
Ho11 0.885 0.364 0.003
Ho12 0.997 0.115 0.636
Tm1 0.500 0.500 0.500

***

Of them, version P has the lowest stability.

***

Version P
A plane-wave DFT calculation with PBE was carried out for a geometry-optimized Pr2Ho3Tm4 structure.

Its magnetic moment is 0.000 μB per formula unit. As for the density of states at the Fermi level: 1.630 states/eV per atom. The symmetry is No. 12.

Cell: 6.451 6.451 9.116 Å, 102.83 102.83 51.82°
Atoms (fractional coordinates):
Pr1 0.071 0.071 0.287
Pr2 0.929 0.929 0.713
Ho1 0.390 0.390 0.314
Ho2 0.500 0.500 0.000
Ho3 0.610 0.610 0.686
Tm1 0.181 0.181 0.963
Tm2 0.270 0.270 0.635
Tm3 0.730 0.730 0.365
Tm4 0.819 0.819 0.037

***

Version Q
A plane-wave DFT calculation with PBE was carried out for a geometry-optimized Pr2Ho3Tm4 structure.

Its magnetic moment is 0.000 μB per formula unit. As for the density of states at the Fermi level: 1.463 states/eV per atom. The symmetry is No. 15.

Cell: 10.103 10.103 5.986 Å, 95.81 95.81 69.97°
Atoms (fractional coordinates):
Pr1 0.010 0.776 0.722
Pr2 0.224 0.990 0.778
Pr3 0.776 0.010 0.222
Pr4 0.990 0.224 0.278
Ho1 0.150 0.850 0.250
Ho2 0.188 0.487 0.411
Ho3 0.487 0.188 0.911
Ho4 0.513 0.812 0.089
Ho5 0.812 0.513 0.589
Ho6 0.850 0.150 0.750
Tm1 0.124 0.344 0.867
Tm2 0.332 0.546 0.957
Tm3 0.344 0.124 0.367
Tm4 0.454 0.668 0.543
Tm5 0.546 0.332 0.457
Tm6 0.656 0.876 0.633
Tm7 0.668 0.454 0.043
Tm8 0.876 0.656 0.133

***

Of them, version Q has the lowest stability.

***

Version P
A plane-wave DFT calculation with PBE was carried out for a geometry-optimized Pr2Ho4Tm structure.

Its magnetic moment is 0.001 μB per formula unit. As for the density of states at the Fermi level: 1.721 states/eV per atom. The symmetry is No. 139.

Cell: 6.800 6.800 6.800 Å, 103.37 103.37 122.51°
Atoms (fractional coordinates):
Pr1 0.250 0.750 0.500
Pr2 0.750 0.250 0.500
Ho1 0.199 0.199 0.398
Ho2 0.199 0.801 0.000
Ho3 0.801 0.199 0.000
Ho4 0.801 0.801 0.602
Tm1 0.500 0.500 0.000

***

Version Q
A plane-wave DFT calculation with PBE was carried out for a geometry-optimized Pr2Ho4Tm structure.

Its magnetic moment is 0.000 μB per formula unit. As for the density of states at the Fermi level: 1.291 states/eV per atom. The symmetry is No. 12.

Cell: 7.116 7.116 18.352 Å, 100.92 100.92 30.31°
Atoms (fractional coordinates):
Pr1 0.093 0.093 0.356
Pr2 0.342 0.342 0.820
Pr3 0.658 0.658 0.180
Pr4 0.907 0.907 0.644
Ho1 0.048 0.048 0.822
Ho2 0.200 0.200 0.557
Ho3 0.289 0.289 0.072
Ho4 0.358 0.358 0.301
Ho5 0.642 0.642 0.699
Ho6 0.711 0.711 0.928
Ho7 0.800 0.800 0.443
Ho8 0.952 0.952 0.178
Tm1 0.000 0.000 0.000
Tm2 0.500 0.500 0.500

***

Of them, version P has the lowest stability.

***

Version P
A plane-wave DFT calculation with PBE was carried out for a geometry-optimized Pr7Ho3Tm2 structure.

Its magnetic moment is 0.000 μB per formula unit. As for the density of states at the Fermi level: 1.441 states/eV per atom. The symmetry is No. 10.

Cell: 5.903 3.630 19.162 Å, 90.00 93.94 90.00°
Atoms (fractional coordinates):
Pr1 0.000 0.000 0.000
Pr2 0.174 0.500 0.186
Pr3 0.258 0.500 0.534
Pr4 0.329 0.000 0.854
Pr5 0.671 0.000 0.146
Pr6 0.742 0.500 0.466
Pr7 0.826 0.500 0.814
Ho1 0.214 0.000 0.367
Ho2 0.500 0.500 0.000
Ho3 0.786 0.000 0.633
Tm1 0.296 0.500 0.701
Tm2 0.704 0.500 0.299

***

Version Q
A plane-wave DFT calculation with PBE was carried out for a geometry-optimized Pr7Ho3Tm2 structure.

Its magnetic moment is 0.000 μB per formula unit. As for the density of states at the Fermi level: 1.498 states/eV per atom. The symmetry is No. 10.

Cell: 6.360 5.555 12.267 Å, 90.00 90.04 90.00°
Atoms (fractional coordinates):
Pr1 0.000 0.000 0.000
Pr2 0.093 0.500 0.827
Pr3 0.248 0.500 0.545
Pr4 0.443 0.000 0.813
Pr5 0.557 0.000 0.187
Pr6 0.752 0.500 0.455
Pr7 0.907 0.500 0.173
Ho1 0.072 0.000 0.344
Ho2 0.500 0.500 0.000
Ho3 0.928 0.000 0.656
Tm1 0.377 0.500 0.274
Tm2 0.623 0.500 0.726

***

Of them, version Q has the lowest stability.